{
  "formula": "Ac2DyN",
  "functional": "PBE",
  "state": "relaxed",
  "lattice_angstrom": [[1.872, 1.081, 10.271], [-1.872, 1.081, 10.271], [0.000, -2.162, 10.271]],
  "species": ["Ac", "Ac", "Dy", "N"],
  "fractional_positions": [[0.117, 0.117, 0.117], [0.883, 0.883, 0.883], [0.000, 0.000, 0.000], [0.500, 0.500, 0.500]],
  "spacegroup": "R-3m, No. 166"
}

***

{
  "formula": "AcDy3N",
  "functional": "PBE",
  "state": "relaxed",
  "lattice_angstrom": [[5.054, 0.000, 0.000], [0.000, 5.054, 0.000], [0.000, 0.000, 5.054]],
  "species": ["Ac", "Dy", "Dy", "Dy", "N"],
  "fractional_positions": [[0.000, 0.000, 0.000], [0.000, 0.500, 0.500], [0.500, 0.000, 0.500], [0.500, 0.500, 0.000], [0.500, 0.500, 0.500]],
  "spacegroup": "Pm-3m, No. 221"
}

***

{
  "formula": "AcDyNbN3",
  "functional": "PBE",
  "state": "relaxed",
  "lattice_angstrom": [[7.719, 0.000, 0.000], [0.000, 3.539, 0.000], [-0.898, 0.000, 8.128]],
  "species": ["Ac", "Ac", "Dy", "Dy", "Nb", "Nb", "N", "N", "N", "N", "N", "N"],
  "fractional_positions": [[0.170, 0.250, 0.178], [0.830, 0.750, 0.822], [0.379, 0.750, 0.855], [0.621, 0.250, 0.145], [0.117, 0.250, 0.587], [0.883, 0.750, 0.413], [0.146, 0.250, 0.834], [0.166, 0.750, 0.465], [0.406, 0.750, 0.128], [0.594, 0.250, 0.872], [0.834, 0.250, 0.535], [0.854, 0.750, 0.166]],
  "spacegroup": "P2_1/m, No. 11"
}

***

{
  "formula": "Ac3Dy2NpN6",
  "functional": "PBE",
  "state": "relaxed",
  "lattice_angstrom": [[3.115, -5.381, 0.000], [3.115, 5.381, 0.000], [-2.074, 0.000, 6.139]],
  "species": ["Ac", "Ac", "Ac", "Dy", "Dy", "Np", "N", "N", "N", "N", "N", "N"],
  "fractional_positions": [[0.000, 0.000, 0.000], [0.331, 0.669, 0.000], [0.669, 0.331, 0.000], [0.166, 0.834, 0.500], [0.834, 0.166, 0.500], [0.500, 0.500, 0.500], [0.128, 0.433, 0.300], [0.261, 0.261, 0.709], [0.433, 0.128, 0.300], [0.567, 0.872, 0.700], [0.739, 0.739, 0.291], [0.872, 0.567, 0.700]],
  "spacegroup": "C2/m, No. 12"
}

***

{
  "formula": "Ac2DyNpN4",
  "functional": "PBE",
  "state": "relaxed",
  "lattice_angstrom": [[6.173, 0.000, 0.000], [0.000, 3.620, 0.000], [-2.023, 0.000, 6.137]],
  "species": ["Ac", "Ac", "Dy", "Np", "N", "N", "N", "N"],
  "fractional_positions": [[0.000, 0.000, 0.000], [0.500, 0.500, 0.000], [0.000, 0.500, 0.500], [0.500, 0.000, 0.500], [0.259, 0.000, 0.699], [0.278, 0.500, 0.300], [0.722, 0.500, 0.700], [0.741, 0.000, 0.301]],
  "spacegroup": "P2/m, No. 10"
}

***

{
  "formula": "AcDy2OsN4",
  "functional": "PBE",
  "state": "relaxed",
  "lattice_angstrom": [[1.760, -5.981, 0.000], [1.760, 5.981, 0.000], [0.000, 0.000, 11.791]],
  "species": ["Ac", "Ac", "Dy", "Dy", "Dy", "Dy", "Os", "Os", "N", "N", "N", "N", "N", "N", "N", "N"],
  "fractional_positions": [[0.103, 0.897, 0.750], [0.897, 0.103, 0.250], [0.369, 0.631, 0.542], [0.369, 0.631, 0.958], [0.631, 0.369, 0.042], [0.631, 0.369, 0.458], [0.157, 0.843, 0.250], [0.843, 0.157, 0.750], [0.000, 0.000, 0.000], [0.000, 0.000, 0.500], [0.263, 0.737, 0.120], [0.263, 0.737, 0.380], [0.424, 0.576, 0.750], [0.576, 0.424, 0.250], [0.737, 0.263, 0.620], [0.737, 0.263, 0.880]],
  "spacegroup": "Cmcm, No. 63"
}

***

Number 1: formation energy (no corrections) -1.252 eV/f.u.. Number 2: formation energy (no corrections) -2.043 eV/f.u.. Number 3: formation energy (no corrections) -6.221 eV/f.u.. Number 4: formation energy (no corrections) -15.055 eV/f.u.. Number 5: formation energy (no corrections) -9.603 eV/f.u.. Number 6: formation energy (no corrections) -7.446 eV/f.u..